#P
The following is a DFT calculation (PBE-GGA) of ZnPt10 after structural relaxation.

Geometry as POSCAR:
```
ZnPt10
1.0
4.790 0.000 0.000
0.000 2.792 0.000
-0.058 0.000 37.944
Zn Pt
2 20
Direct
0.082 0.250 0.306 Zn
0.918 0.750 0.694 Zn
0.080 0.250 0.754 Pt
0.083 0.250 0.123 Pt
0.083 0.250 0.939 Pt
0.249 0.750 0.184 Pt
0.250 0.750 0.000 Pt
0.250 0.750 0.816 Pt
0.416 0.250 0.246 Pt
0.417 0.250 0.061 Pt
0.417 0.250 0.694 Pt
0.417 0.250 0.877 Pt
0.583 0.750 0.123 Pt
0.583 0.750 0.306 Pt
0.583 0.750 0.939 Pt
0.584 0.750 0.754 Pt
0.750 0.250 0.000 Pt
0.750 0.250 0.184 Pt
0.751 0.250 0.816 Pt
0.917 0.750 0.061 Pt
0.917 0.750 0.877 Pt
0.920 0.750 0.246 Pt
```

Symmetry: P2_1/m, No. 11

=====

#Q
The following is a DFT calculation (PBE-GGA) of ZnPt10 after structural relaxation.

Geometry as POSCAR:
```
ZnPt10
1.0
4.391 -1.943 0.000
4.391 1.943 0.000
-0.538 0.000 34.000
Zn Pt
2 20
Direct
0.154 0.154 0.275 Zn
0.846 0.846 0.725 Zn
0.050 0.050 0.825 Pt
0.051 0.051 0.094 Pt
0.150 0.150 0.014 Pt
0.154 0.154 0.745 Pt
0.249 0.249 0.201 Pt
0.249 0.249 0.933 Pt
0.350 0.350 0.121 Pt
0.351 0.351 0.852 Pt
0.450 0.450 0.040 Pt
0.455 0.455 0.768 Pt
0.545 0.545 0.232 Pt
0.550 0.550 0.960 Pt
0.649 0.649 0.148 Pt
0.650 0.650 0.879 Pt
0.751 0.751 0.067 Pt
0.751 0.751 0.799 Pt
0.846 0.846 0.255 Pt
0.850 0.850 0.986 Pt
0.949 0.949 0.906 Pt
0.950 0.950 0.175 Pt
```

Symmetry: C2/m, No. 12

=====

Most stable of them? #P.

=====

#P
The following is a DFT calculation (PBE-GGA) of Rb2PuS3 after structural relaxation.

Geometry as POSCAR:
```
Rb2PuS3
1.0
7.880 -3.463 0.000
7.880 3.463 0.000
-6.913 0.000 7.855
Rb Pu S
4 2 6
Direct
0.057 0.057 0.279 Rb
0.334 0.334 0.966 Rb
0.666 0.666 0.034 Rb
0.943 0.943 0.721 Rb
0.351 0.351 0.424 Pu
0.649 0.649 0.576 Pu
0.193 0.193 0.103 S
0.250 0.750 0.500 S
0.359 0.359 0.674 S
0.641 0.641 0.326 S
0.750 0.250 0.500 S
0.807 0.807 0.897 S
```

Symmetry: C2/m, No. 12

=====

#Q
The following is a DFT calculation (PBE-GGA) of Rb2PuS3 after structural relaxation.

Geometry as POSCAR:
```
Rb2PuS3
1.0
7.364 0.000 0.000
0.649 7.639 0.000
0.675 2.711 7.293
Rb Pu S
4 2 6
Direct
0.200 0.497 0.187 Rb
0.298 0.815 0.507 Rb
0.702 0.185 0.493 Rb
0.800 0.503 0.813 Rb
0.251 0.080 0.918 Pu
0.749 0.920 0.082 Pu
0.009 0.882 0.842 S
0.256 0.357 0.625 S
0.491 0.169 0.105 S
0.509 0.831 0.895 S
0.744 0.643 0.375 S
0.991 0.118 0.158 S
```

Symmetry: P-1, No. 2

=====

Most stable of them? #Q.

=====

#P
The following is a DFT calculation (PBE-GGA) of PuTlRe after structural relaxation.

Geometry as POSCAR:
```
PuTlRe
1.0
6.592 0.000 0.000
0.000 6.592 0.000
0.000 0.000 6.592
Pu Tl Re
4 4 4
Direct
0.000 0.000 0.000 Pu
0.000 0.500 0.500 Pu
0.500 0.000 0.500 Pu
0.500 0.500 0.000 Pu
0.250 0.250 0.250 Tl
0.250 0.750 0.750 Tl
0.750 0.250 0.750 Tl
0.750 0.750 0.250 Tl
0.250 0.250 0.750 Re
0.250 0.750 0.250 Re
0.750 0.250 0.250 Re
0.750 0.750 0.750 Re
```

Symmetry: F-43m, No. 216

=====

#Q
The following is a DFT calculation (PBE-GGA) of PuTlRe after structural relaxation.

Geometry as POSCAR:
```
PuTlRe
1.0
6.540 0.000 0.000
0.000 6.540 0.000
0.000 0.000 6.540
Pu Tl Re
4 4 4
Direct
0.000 0.000 0.000 Pu
0.000 0.500 0.500 Pu
0.500 0.000 0.500 Pu
0.500 0.500 0.000 Pu
0.000 0.000 0.500 Tl
0.000 0.500 0.000 Tl
0.500 0.000 0.000 Tl
0.500 0.500 0.500 Tl
0.250 0.250 0.750 Re
0.250 0.750 0.250 Re
0.750 0.250 0.250 Re
0.750 0.750 0.750 Re
```

Symmetry: F-43m, No. 216

=====

Most stable of them? #Q.

=====

#P
The following is a DFT calculation (PBE-GGA) of PuZnRe after structural relaxation.

Geometry as POSCAR:
```
PuZnRe
1.0
6.217 0.000 0.000
0.000 6.217 0.000
0.000 0.000 6.217
Pu Zn Re
4 4 4
Direct
0.000 0.000 0.000 Pu
0.000 0.500 0.500 Pu
0.500 0.000 0.500 Pu
0.500 0.500 0.000 Pu
0.000 0.000 0.500 Zn
0.000 0.500 0.000 Zn
0.500 0.000 0.000 Zn
0.500 0.500 0.500 Zn
0.250 0.250 0.750 Re
0.250 0.750 0.250 Re
0.750 0.250 0.250 Re
0.750 0.750 0.750 Re
```

Symmetry: F-43m, No. 216

=====

#Q
The following is a DFT calculation (PBE-GGA) of PuZnRe after structural relaxation.

Geometry as POSCAR:
```
PuZnRe
1.0
6.246 0.000 0.000
0.000 6.246 0.000
0.000 0.000 6.246
Pu Zn Re
4 4 4
Direct
0.000 0.000 0.000 Pu
0.000 0.500 0.500 Pu
0.500 0.000 0.500 Pu
0.500 0.500 0.000 Pu
0.250 0.250 0.250 Zn
0.250 0.750 0.750 Zn
0.750 0.250 0.750 Zn
0.750 0.750 0.250 Zn
0.250 0.250 0.750 Re
0.250 0.750 0.250 Re
0.750 0.250 0.250 Re
0.750 0.750 0.750 Re
```

Symmetry: F-43m, No. 216

=====

Most stable of them? #P.

=====

#P
The following is a DFT calculation (PBE-GGA) of Pu2SeS3 after structural relaxation.

Geometry as POSCAR:
```
Pu2SeS3
1.0
6.339 0.000 0.000
2.754 7.645 0.000
0.104 4.276 6.912
Pu Se S
4 2 6
Direct
0.013 0.498 0.251 Pu
0.014 0.997 0.758 Pu
0.986 0.003 0.242 Pu
0.987 0.502 0.749 Pu
0.254 0.746 0.618 Se
0.746 0.254 0.382 Se
0.213 0.253 0.117 S
0.224 0.259 0.623 S
0.230 0.757 0.125 S
0.770 0.243 0.875 S
0.776 0.741 0.377 S
0.787 0.747 0.883 S
```

Symmetry: P-1, No. 2

=====

#Q
The following is a DFT calculation (PBE-GGA) of Pu2SeS3 after structural relaxation.

Geometry as POSCAR:
```
Pu2SeS3
1.0
21.247 0.000 0.000
0.000 3.833 0.000
-0.001 0.000 6.643
Pu Se S
4 2 6
Direct
0.000 0.000 0.000 Pu
0.000 0.500 0.491 Pu
0.500 0.000 0.491 Pu
0.500 0.500 0.000 Pu
0.417 0.000 0.828 Se
0.917 0.500 0.828 Se
0.071 0.500 0.828 S
0.074 0.000 0.330 S
0.426 0.500 0.329 S
0.571 0.000 0.828 S
0.574 0.500 0.330 S
0.926 0.000 0.329 S
```

Symmetry: Cm, No. 8

=====

Most stable of them? #P.

=====

#P
The following is a DFT calculation (PBE-GGA) of PuSe2S after structural relaxation.

Geometry as POSCAR:
```
PuSe2S
1.0
5.466 0.000 0.000
0.000 4.018 0.000
-1.202 0.000 9.411
Pu Se S
2 4 2
Direct
0.221 0.250 0.369 Pu
0.779 0.750 0.631 Pu
0.039 0.250 0.817 Se
0.387 0.750 0.175 Se
0.613 0.250 0.825 Se
0.961 0.750 0.183 Se
0.265 0.750 0.564 S
0.735 0.250 0.436 S
```

Symmetry: P2_1/m, No. 11

=====

#Q
The following is a DFT calculation (PBE-GGA) of PuSe2S after structural relaxation.

Geometry as POSCAR:
```
PuSe2S
1.0
3.900 0.000 0.000
0.000 24.333 0.000
0.000 0.000 3.901
Pu Se S
4 8 4
Direct
0.000 0.180 0.250 Pu
0.000 0.820 0.750 Pu
0.500 0.320 0.750 Pu
0.500 0.680 0.250 Pu
0.000 0.084 0.750 Se
0.000 0.416 0.750 Se
0.000 0.584 0.250 Se
0.000 0.916 0.250 Se
0.500 0.084 0.250 Se
0.500 0.416 0.250 Se
0.500 0.584 0.750 Se
0.500 0.916 0.750 Se
0.000 0.295 0.250 S
0.000 0.705 0.750 S
0.500 0.205 0.750 S
0.500 0.795 0.250 S
```

Symmetry: Cmcm, No. 63

=====

Most stable of them? #Q.